[1]
First-principles (GGA-PBE) data for a geometry-optimized Ti2TcAu2 structure, as listed in Alexandria via LeMat-Bulk.

D(E_F): 1.27 states/eV/atom
formation energy from the elements: -14 meV/atom
energy relative to the lowest polymorph listed for this composition: 38.97 kJ per mole of atoms

Lattice parameters (Å, degrees): 7.407 7.407 3.110 90.00 90.00 90.00
Atoms (fractional coordinates):
Au: 0.370 0.870 0.000
Au: 0.870 0.630 0.000
Au: 0.630 0.130 0.000
Au: 0.130 0.370 0.000
Tc: 0.000 0.000 0.000
Tc: 0.500 0.500 0.000
Ti: 0.174 0.674 0.500
Ti: 0.674 0.826 0.500
Ti: 0.826 0.326 0.500
Ti: 0.326 0.174 0.500

=====

[2]
First-principles (GGA-PBE) data for a geometry-optimized PmTmMoN3 structure, as listed in Alexandria via LeMat-Bulk.

ΔE_f (raw): -1.244 eV/atom
D(E_F): 0.28 states/eV/atom

Lattice parameters (Å, degrees): 3.329 5.805 8.449 103.30 90.00 90.00
Atoms (fractional coordinates):
Pm: 0.750 0.640 0.690
Pm: 0.250 0.360 0.310
Tm: 0.250 0.767 0.053
Tm: 0.750 0.233 0.947
Mo: 0.250 0.109 0.621
Mo: 0.750 0.891 0.379
N: 0.250 0.750 0.486
N: 0.750 0.045 0.173
N: 0.750 0.570 0.172
N: 0.750 0.250 0.514
N: 0.250 0.430 0.828
N: 0.250 0.955 0.827

=====

no.,total magnetization (μB per formula unit),DFT total energy (eV/f.u.),density (g/cm3)
1,0.00,-32.8,11.44
2,0.00,-52.5,9.45